[1]
## MoPbBr2N (PBE)

Data for a geometry-optimized MoPbBr2N structure.

```
MoPbBr2N
1.0
-1.913 -1.239 -5.444
2.032 -3.776 0.146
-4.833 -2.513 2.270
Br Mo Pb N
2 1 1 1
direct
0.500 0.000 0.000
0.000 0.000 0.500
0.500 0.500 0.500
0.000 0.000 0.000
0.000 0.500 0.000
```

Values from the calculation:
calculated total energy = -3.9580 eV per atom
ΔE_f (raw) = 1.284 eV/atom
magnetization = 0.83 μB/atom

---

[2]
## MoPdBrN2 (PBE)

Data for a geometry-optimized MoPdBrN2 structure.

```
MoPdBrN2
1.0
3.859 0.000 0.000
0.000 5.700 0.000
0.000 0.000 3.859
Br Pd N Mo
1 1 2 1
direct
0.500 0.500 0.500
0.000 0.500 0.000
0.500 0.000 0.000
0.000 0.000 0.500
0.000 0.000 0.000
```

Values from the calculation:
calculated total energy = -6.2643 eV per atom
ΔE_f (raw) = 0.605 eV/atom
magnetization = 0.00 μB/atom

---

[3]
## MoSBrN2 (PBE)

Data for a geometry-optimized MoSBrN2 structure.

```
MoSBrN2
1.0
-1.267 0.501 3.652
-1.203 -3.706 0.091
4.726 -1.488 1.844
S Mo Br N
1 1 1 2
direct
0.000 0.000 0.500
0.000 0.000 0.000
0.500 0.500 0.500
0.000 0.500 0.000
0.500 0.000 0.000
```

Values from the calculation:
calculated total energy = -6.0152 eV per atom
ΔE_f (raw) = 0.641 eV/atom
magnetization = 0.00 μB/atom
distance to the lowest polymorph of the same formula = 0 meV/atom

---

[4]
## MoSBrN2 (PBE)

Data for a geometry-optimized MoSBrN2 structure.

```
MoSBrN2
1.0
-3.420 -1.700 -0.689
1.687 -3.487 0.233
-0.901 -0.118 4.760
Mo Br N S
1 1 2 1
direct
0.500 0.500 0.500
0.000 0.000 0.000
0.500 0.000 0.000
0.000 0.500 0.000
0.000 0.000 0.500
```

Values from the calculation:
calculated total energy = -4.3433 eV per atom
ΔE_f (raw) = 2.313 eV/atom
magnetization = 0.46 μB/atom
distance to the lowest polymorph of the same formula = 1672 meV/atom

---

[5]
## MoSeBr2N (PBE)

Data for a geometry-optimized MoSeBr2N structure.

```
MoSeBr2N
1.0
-1.220 1.528 -4.931
1.727 -4.654 -1.870
-4.437 -1.856 0.522
Se Mo N Br
1 1 1 2
direct
0.000 0.000 0.500
0.000 0.000 0.000
0.500 0.500 0.500
0.500 0.000 0.000
0.000 0.500 0.000
```

Values from the calculation:
calculated total energy = -4.2191 eV per atom
ΔE_f (raw) = 0.978 eV/atom
magnetization = 0.94 μB/atom
distance to the lowest polymorph of the same formula = 0 meV/atom

---

[6]
## MoSeBr2N (PBE)

Data for a geometry-optimized MoSeBr2N structure.

```
MoSeBr2N
1.0
-2.241 -3.721 -1.136
3.055 -0.871 -3.173
2.620 -2.563 3.226
Mo Se Br N
1 1 2 1
direct
0.500 0.500 0.500
0.000 0.000 0.500
0.500 0.000 0.000
0.000 0.500 0.000
0.000 0.000 0.000
```

Values from the calculation:
calculated total energy = -3.8383 eV per atom
ΔE_f (raw) = 1.359 eV/atom
magnetization = 0.80 μB/atom
distance to the lowest polymorph of the same formula = 381 meV/atom

---

[7]
## Si2MoBrN (PBE)

Data for a geometry-optimized Si2MoBrN structure.

```
Si2MoBrN
1.0
-2.880 3.021 2.642
-1.218 -3.045 2.155
3.709 0.762 3.172
N Si Mo Br
1 2 1 1
direct
0.000 0.500 0.000
0.500 0.000 0.000
0.000 0.000 0.500
0.000 0.000 0.000
0.500 0.500 0.500
```

Values from the calculation:
calculated total energy = -5.8635 eV per atom
ΔE_f (raw) = 0.472 eV/atom
magnetization = 0.00 μB/atom

---

[8]
## Te2MoBrN (PBE)

Data for a geometry-optimized Te2MoBrN structure.

```
Te2MoBrN
1.0
-4.760 2.420 1.364
-2.082 -1.317 -4.930
-1.272 -3.302 1.420
Mo N Te Br
1 1 2 1
direct
0.000 0.000 0.000
0.000 0.000 0.500
0.000 0.500 0.000
0.500 0.000 0.000
0.500 0.500 0.500
```

Values from the calculation:
calculated total energy = -5.1346 eV per atom
ΔE_f (raw) = 0.288 eV/atom
magnetization = 0.00 μB/atom
distance to the lowest polymorph of the same formula = 0 meV/atom

---

[9]
## Te2MoBrN (PBE)

Data for a geometry-optimized Te2MoBrN structure.

```
Te2MoBrN
1.0
5.661 0.000 0.000
0.000 5.661 0.000
0.000 0.000 3.713
Br Te N Mo
1 2 1 1
direct
0.000 0.000 0.000
0.500 0.000 0.000
0.000 0.500 0.000
0.000 0.000 0.500
0.500 0.500 0.500
```

Values from the calculation:
calculated total energy = -3.6667 eV per atom
ΔE_f (raw) = 1.756 eV/atom
magnetization = 0.75 μB/atom
distance to the lowest polymorph of the same formula = 1468 meV/atom

---

[10]
## Na2MoBr6 (PBE)

Data for a geometry-optimized Na2MoBr6 structure.

```
Na2MoBr6
1.0
-2.740 1.940 -6.227
5.420 -3.681 -3.532
-5.554 -8.633 0.474
Br Na Mo
12 4 2
direct
0.860 0.972 0.265
0.208 0.316 0.062
0.336 0.791 0.059
0.164 0.291 0.441
0.708 0.184 0.562
0.640 0.472 0.235
0.836 0.709 0.559
0.792 0.684 0.938
0.664 0.209 0.941
0.140 0.028 0.735
0.360 0.528 0.765
0.292 0.816 0.438
0.539 0.892 0.721
0.461 0.108 0.279
0.961 0.392 0.779
0.039 0.608 0.221
0.500 0.500 0.000
0.000 0.000 0.500
```

Values from the calculation:
calculated total energy = -3.5701 eV per atom
ΔE_f (raw) = -0.958 eV/atom
magnetization = 0.22 μB/atom
distance to the lowest polymorph of the same formula = 0 meV/atom

---

[11]
## NaMoBr5 (PBE)

Data for a geometry-optimized NaMoBr5 structure.

```
NaMoBr5
1.0
-4.357 -5.281 -2.297
1.954 -2.196 -6.596
4.864 -8.604 0.967
Br Na Mo
10 2 2
direct
0.637 0.201 0.481
0.108 0.892 0.250
0.201 0.637 0.981
0.314 0.112 0.876
0.112 0.314 0.376
0.363 0.799 0.519
0.799 0.363 0.019
0.888 0.686 0.624
0.892 0.108 0.750
0.686 0.888 0.124
0.525 0.475 0.750
0.475 0.525 0.250
0.000 0.000 0.500
0.000 0.000 0.000
```

Values from the calculation:
calculated total energy = -3.6451 eV per atom
ΔE_f (raw) = -0.714 eV/atom
magnetization = 0.29 μB/atom

---

[12]
## Na2MoBr8 (PBE)

Data for a geometry-optimized Na2MoBr8 structure.

```
Na2MoBr8
1.0
-2.461 -2.580 -5.817
1.206 -6.888 2.545
-5.288 0.215 6.144
Br Na Mo
8 2 1
direct
0.685 0.374 0.370
0.166 0.039 0.332
0.315 0.626 0.630
0.287 0.759 0.064
0.713 0.241 0.936
0.778 0.759 0.064
0.222 0.241 0.936
0.834 0.961 0.668
0.837 0.558 0.674
0.163 0.442 0.326
0.000 0.000 0.000
```

Values from the calculation:
calculated total energy = -3.1347 eV per atom
ΔE_f (raw) = -0.694 eV/atom
magnetization = 0.01 μB/atom